Below is a relaxed structure of YTcMo2, with properties calculated at the PBEsol level.

The structure in POSCAR format:
```
YTcMo2
1.0
3.198 0.000 0.000
0.000 4.759 0.000
-1.599 -2.380 4.483
Mo Y Tc
2 1 1
Cartesian
0.000 0.000 0.156
1.599 0.000 2.247
0.000 2.380 2.224
0.000 0.000 4.338
```

Relative energy among the computed polymorphs: 0.000 eV per atom
Formation energy from the elements: 0.2934 eV/atom
D(E_F): 0.65 states/eV per atom